Compound: Ti2CdO5
Source: Alexandria
Functional: PBEsol
Structure: relaxed

CIF file:
```
data_Ti2CdO5
_chemical_formula_sum 'Ti8 Cd4 O20'
_symmetry_space_group_name_H-M 'C m c m'
_symmetry_Int_Tables_number 63
_symmetry_space_group_name_Hall '-C 2c 2'
_cell_length_a 3.688
_cell_length_b 10.159
_cell_length_c 10.584
_cell_angle_alpha 90.00
_cell_angle_beta 90.00
_cell_angle_gamma 90.00
loop_
_atom_site_label
_atom_site_type_symbol
_atom_site_fract_x
_atom_site_fract_y
_atom_site_fract_z
Ti1 Ti 0.000 0.130 0.066
Cd1 Cd 0.000 0.191 0.750
O1 O 0.000 0.044 0.604
O2 O 0.000 0.185 0.250
O3 O 0.000 0.315 0.552
```

Values from the calculation:
Crystal system ... orthorhombic

***

Compound: TiCdO3
Source: Alexandria
Functional: PBEsol
Structure: relaxed

CIF file:
```
data_TiCdO3
_chemical_formula_sum 'Ti4 Cd4 O12'
_symmetry_space_group_name_H-M 'P n m a'
_symmetry_Int_Tables_number 62
_cell_length_a 5.422
_cell_length_b 7.622
_cell_length_c 5.299
_cell_angle_alpha 90.00
_cell_angle_beta 90.00
_cell_angle_gamma 90.00
loop_
_symmetry_equiv_pos_as_xyz
'x,y,z'
'-x,-y,-z'
'-x+1/2,-y,z+1/2'
'x+1/2,y,-z+1/2'
'x+1/2,-y+1/2,-z+1/2'
'-x+1/2,y+1/2,z+1/2'
'-x,y+1/2,-z'
'x,-y+1/2,z'
loop_
_atom_site_label
_atom_site_type_symbol
_atom_site_fract_x
_atom_site_fract_y
_atom_site_fract_z
Ti1 Ti 0.000 0.000 0.000
Cd1 Cd 0.041 0.250 0.491
O1 O 0.029 0.750 0.091
O2 O 0.203 0.548 0.700
```

Values from the calculation:
Crystal system ... orthorhombic

***

Compound: TlV3Cd4O12
Source: Alexandria
Functional: PBEsol
Structure: relaxed

CIF file:
```
data_TlV3Cd4O12
_chemical_formula_sum 'Tl4 V12 Cd16 O48'
_symmetry_space_group_name_H-M 'C 1 c 1'
_symmetry_Int_Tables_number 9
_cell_length_a 13.002
_cell_length_b 13.521
_cell_length_c 7.069
_cell_angle_alpha 90.00
_cell_angle_beta 115.26
_cell_angle_gamma 90.00
loop_
_symmetry_equiv_pos_as_xyz
'x,y,z'
'x,-y,z+1/2'
'x+1/2,y+1/2,z'
'x+1/2,-y+1/2,z+1/2'
loop_
_atom_site_label
_atom_site_type_symbol
_atom_site_fract_x
_atom_site_fract_y
_atom_site_fract_z
Tl1 Tl 0.000 0.028 0.000
V1 V 0.002 0.299 0.001
V2 V 0.242 0.111 0.889
V3 V 0.266 0.386 0.610
Cd1 Cd 0.005 0.263 0.507
Cd2 Cd 0.222 0.160 0.391
Cd3 Cd 0.281 0.343 0.103
Cd4 Cd 0.481 0.006 0.790
O1 O 0.047 0.226 0.219
O2 O 0.098 0.381 0.981
O3 O 0.120 0.397 0.536
O4 O 0.166 0.167 0.651
O5 O 0.179 0.000 0.381
O6 O 0.223 0.179 0.072
O7 O 0.289 0.319 0.428
O8 O 0.327 0.498 0.623
O9 O 0.341 0.328 0.849
O10 O 0.390 0.092 0.963
O11 O 0.405 0.116 0.518
O12 O 0.458 0.274 0.281
```

Values from the calculation:
Crystal system ... monoclinic

***

Compound: VCdO3
Source: Alexandria
Functional: PBEsol
Structure: relaxed

CIF file:
```
data_VCdO3
_chemical_formula_sum 'V4 Cd4 O12'
_symmetry_space_group_name_H-M 'P n m a'
_symmetry_Int_Tables_number 62
_cell_length_a 5.307
_cell_length_b 7.482
_cell_length_c 5.246
_cell_angle_alpha 90.00
_cell_angle_beta 90.00
_cell_angle_gamma 90.00
loop_
_symmetry_equiv_pos_as_xyz
'x,y,z'
'-x,-y,-z'
'-x+1/2,-y,z+1/2'
'x+1/2,y,-z+1/2'
'x+1/2,-y+1/2,-z+1/2'
'-x+1/2,y+1/2,z+1/2'
'-x,y+1/2,-z'
'x,-y+1/2,z'
loop_
_atom_site_label
_atom_site_type_symbol
_atom_site_fract_x
_atom_site_fract_y
_atom_site_fract_z
V1 V 0.000 0.000 0.000
Cd1 Cd 0.034 0.250 0.493
O1 O 0.019 0.750 0.081
O2 O 0.209 0.541 0.707
```

Values from the calculation:
Crystal system ... orthorhombic

***

Compound: V2CdO6
Source: Alexandria
Functional: PBEsol
Structure: relaxed

CIF file:
```
data_V2CdO6
_chemical_formula_sum 'V4 Cd2 O12'
_symmetry_space_group_name_H-M 'C 1 2/m 1'
_symmetry_Int_Tables_number 12
_cell_length_a 9.379
_cell_length_b 3.542
_cell_length_c 6.949
_cell_angle_alpha 90.00
_cell_angle_beta 113.36
_cell_angle_gamma 90.00
loop_
_symmetry_equiv_pos_as_xyz
'x,y,z'
'-x,-y,-z'
'-x,y,-z'
'x,-y,z'
'x+1/2,y+1/2,z'
'-x+1/2,-y+1/2,-z'
'-x+1/2,y+1/2,-z'
'x+1/2,-y+1/2,z'
loop_
_atom_site_label
_atom_site_type_symbol
_atom_site_fract_x
_atom_site_fract_y
_atom_site_fract_z
V1 V 0.182 0.000 0.134
Cd1 Cd 0.000 0.000 0.500
O1 O 0.025 0.000 0.194
O2 O 0.167 0.500 0.631
O3 O 0.193 0.500 0.062
```

Values from the calculation:
Crystal system ... monoclinic

***

Compound: V2CdO6
Source: Alexandria
Functional: PBEsol
Structure: relaxed

CIF file:
```
data_V2CdO6
_chemical_formula_sum 'V8 Cd4 O24'
_symmetry_space_group_name_H-M 'P b c n'
_symmetry_Int_Tables_number 60
_cell_length_a 14.142
_cell_length_b 5.756
_cell_length_c 4.868
_cell_angle_alpha 90.00
_cell_angle_beta 90.00
_cell_angle_gamma 90.00
loop_
_symmetry_equiv_pos_as_xyz
'x,y,z'
'-x,-y,-z'
'-x+1/2,-y+1/2,z+1/2'
'x+1/2,y+1/2,-z+1/2'
'x+1/2,-y+1/2,-z'
'-x+1/2,y+1/2,z'
'-x,y,-z+1/2'
'x,-y,z+1/2'
loop_
_atom_site_label
_atom_site_type_symbol
_atom_site_fract_x
_atom_site_fract_y
_atom_site_fract_z
V1 V 0.167 0.186 0.230
Cd1 Cd 0.000 0.285 0.750
O1 O 0.090 0.382 0.118
O2 O 0.106 0.079 0.525
O3 O 0.246 0.150 0.902
```

Values from the calculation:
Crystal system ... orthorhombic

***

Compound: V2Cd3O8
Source: Alexandria
Functional: PBEsol
Structure: relaxed

CIF file:
```
data_V2Cd3O8
_chemical_formula_sum 'V4 Cd6 O16'
_symmetry_space_group_name_H-M 'P m c 21'
_symmetry_Int_Tables_number 26
_cell_length_a 6.896
_cell_length_b 5.358
_cell_length_c 9.820
_cell_angle_alpha 90.00
_cell_angle_beta 90.00
_cell_angle_gamma 90.00
loop_
_symmetry_equiv_pos_as_xyz
'x,y,z'
'-x,-y,z+1/2'
'-x,y,z'
'x,-y,z+1/2'
loop_
_atom_site_label
_atom_site_type_symbol
_atom_site_fract_x
_atom_site_fract_y
_atom_site_fract_z
V1 V 0.000 0.228 0.000
V2 V 0.500 0.244 0.355
Cd1 Cd 0.242 0.263 0.681
Cd2 Cd 0.500 0.248 0.035
O1 O 0.000 0.215 0.826
O2 O 0.000 0.473 0.557
O3 O 0.210 0.079 0.053
O4 O 0.309 0.374 0.280
O5 O 0.500 0.080 0.815
O6 O 0.500 0.339 0.532
```

Values from the calculation:
Crystal system ... orthorhombic

***

Compound: V3Cd5O12
Source: Alexandria
Functional: PBEsol
Structure: relaxed

CIF file:
```
data_V3Cd5O12
_chemical_formula_sum 'V12 Cd20 O48'
_symmetry_space_group_name_H-M 'C 1 2/c 1'
_symmetry_Int_Tables_number 15
_cell_length_a 12.481
_cell_length_b 13.736
_cell_length_c 7.012
_cell_angle_alpha 90.00
_cell_angle_beta 114.37
_cell_angle_gamma 90.00
loop_
_symmetry_equiv_pos_as_xyz
'x,y,z'
'-x,-y,-z'
'-x,y,-z+1/2'
'x,-y,z+1/2'
'x+1/2,y+1/2,z'
'-x+1/2,-y+1/2,-z'
'-x+1/2,y+1/2,-z+1/2'
'x+1/2,-y+1/2,z+1/2'
loop_
_atom_site_label
_atom_site_type_symbol
_atom_site_fract_x
_atom_site_fract_y
_atom_site_fract_z
V1 V 0.000 0.196 0.250
V2 V 0.229 0.387 0.133
Cd1 Cd 0.000 0.000 0.000
Cd2 Cd 0.000 0.226 0.750
Cd3 Cd 0.000 0.492 0.750
Cd4 Cd 0.209 0.350 0.623
O1 O 0.042 0.265 0.472
O2 O 0.102 0.113 0.239
O3 O 0.121 0.089 0.800
O4 O 0.147 0.494 0.118
O5 O 0.158 0.332 0.893
O6 O 0.216 0.314 0.315
```

Values from the calculation:
Crystal system ... monoclinic

***

Compound: V2Cd2O7
Source: Alexandria
Functional: PBEsol
Structure: relaxed

CIF file:
```
data_V2Cd2O7
_chemical_formula_sum 'V4 Cd4 O14'
_symmetry_space_group_name_H-M 'C 1 2/m 1'
_symmetry_Int_Tables_number 12
_cell_length_a 6.986
_cell_length_b 9.047
_cell_length_c 5.011
_cell_angle_alpha 90.00
_cell_angle_beta 103.09
_cell_angle_gamma 90.00
loop_
_symmetry_equiv_pos_as_xyz
'x,y,z'
'-x,-y,-z'
'-x,y,-z'
'x,-y,z'
'x+1/2,y+1/2,z'
'-x+1/2,-y+1/2,-z'
'-x+1/2,y+1/2,-z'
'x+1/2,-y+1/2,z'
loop_
_atom_site_label
_atom_site_type_symbol
_atom_site_fract_x
_atom_site_fract_y
_atom_site_fract_z
V1 V 0.228 0.000 0.407
Cd1 Cd 0.000 0.307 0.000
O1 O 0.000 0.000 0.500
O2 O 0.102 0.500 0.289
O3 O 0.237 0.156 0.220
```

Values from the calculation:
Crystal system ... monoclinic

***

Compound: V3CdO7
Source: Alexandria
Functional: PBEsol
Structure: relaxed

CIF file:
```
data_V3CdO7
_chemical_formula_sum 'V12 Cd4 O28'
_symmetry_space_group_name_H-M 'P n m a'
_symmetry_Int_Tables_number 62
_cell_length_a 10.474
_cell_length_b 10.223
_cell_length_c 5.252
_cell_angle_alpha 90.00
_cell_angle_beta 90.00
_cell_angle_gamma 90.00
loop_
_symmetry_equiv_pos_as_xyz
'x,y,z'
'-x,-y,-z'
'-x+1/2,-y,z+1/2'
'x+1/2,y,-z+1/2'
'x+1/2,-y+1/2,-z+1/2'
'-x+1/2,y+1/2,z+1/2'
'-x,y+1/2,-z'
'x,-y+1/2,z'
loop_
_atom_site_label
_atom_site_type_symbol
_atom_site_fract_x
_atom_site_fract_y
_atom_site_fract_z
V1 V 0.187 0.024 0.209
V2 V 0.214 0.250 0.700
Cd1 Cd 0.078 0.750 0.684
O1 O 0.040 0.076 0.226
O2 O 0.059 0.250 0.685
O3 O 0.219 0.619 0.968
O4 O 0.223 0.619 0.443
```

Values from the calculation:
Crystal system ... orthorhombic

***

Compound: YCdO2
Source: Alexandria
Functional: PBEsol
Structure: relaxed

CIF file:
```
data_YCdO2
_chemical_formula_sum 'Y3 Cd3 O6'
_symmetry_space_group_name_H-M 'R -3 m'
_symmetry_Int_Tables_number 166
_symmetry_space_group_name_Hall '-R 3 2"'
_cell_length_a 3.5701
_cell_length_b 3.5701
_cell_length_c 19.2540
_cell_angle_alpha 90.00
_cell_angle_beta 90.00
_cell_angle_gamma 120.00
loop_
_atom_site_label
_atom_site_type_symbol
_atom_site_fract_x
_atom_site_fract_y
_atom_site_fract_z
Y1 Y 0.0000 0.0000 0.0000
Cd1 Cd 0.0000 0.0000 0.5000
O1 O 0.0000 0.0000 0.1074
```

Values from the calculation:
Crystal system ... trigonal

***

Compound: Zn3CdO4
Source: Alexandria
Functional: PBEsol
Structure: relaxed

CIF file:
```
data_Zn3CdO4
_chemical_formula_sum 'Zn3 Cd1 O4'
_symmetry_space_group_name_H-M 'P 3 m 1'
_symmetry_Int_Tables_number 156
_cell_length_a 3.2981
_cell_length_b 3.2981
_cell_length_c 10.9028
_cell_angle_alpha 90.00
_cell_angle_beta 90.00
_cell_angle_gamma 120.00
loop_
_symmetry_equiv_pos_as_xyz
'x,y,z'
'-y,x-y,z'
'-x+y,-x,z'
'-y,-x,z'
'-x+y,y,z'
'x,x-y,z'
loop_
_atom_site_label
_atom_site_type_symbol
_atom_site_fract_x
_atom_site_fract_y
_atom_site_fract_z
Zn1 Zn 0.0000 0.0000 0.0000
Zn2 Zn 0.0000 0.0000 0.4727
Zn3 Zn 0.3333 0.6667 0.2363
Cd1 Cd 0.3333 0.6667 0.7306
O1 O 0.0000 0.0000 0.2922
O2 O 0.0000 0.0000 0.8217
O3 O 0.3333 0.6667 0.0559
O4 O 0.3333 0.6667 0.5284
```

Values from the calculation:
Crystal system ... trigonal

***

Compound: Zr4CdO9
Source: Alexandria
Functional: PBEsol
Structure: relaxed

CIF file:
```
data_Zr4CdO9
_chemical_formula_sum 'Zr16 Cd4 O36'
_symmetry_space_group_name_H-M 'C 1 2/m 1'
_symmetry_Int_Tables_number 12
_cell_length_a 33.549
_cell_length_b 3.444
_cell_length_c 5.934
_cell_angle_alpha 90.00
_cell_angle_beta 91.16
_cell_angle_gamma 90.00
loop_
_symmetry_equiv_pos_as_xyz
'x,y,z'
'-x,-y,-z'
'-x,y,-z'
'x,-y,z'
'x+1/2,y+1/2,z'
'-x+1/2,-y+1/2,-z'
'-x+1/2,y+1/2,-z'
'x+1/2,-y+1/2,z'
loop_
_atom_site_label
_atom_site_type_symbol
_atom_site_fract_x
_atom_site_fract_y
_atom_site_fract_z
Zr1 Zr 0.087 0.000 0.177
Zr2 Zr 0.106 0.500 0.674
Zr3 Zr 0.190 0.000 0.899
Zr4 Zr 0.208 0.500 0.384
Cd1 Cd 0.000 0.000 0.500
Cd2 Cd 0.000 0.500 0.000
O1 O 0.025 0.000 0.199
O2 O 0.068 0.500 0.946
O3 O 0.077 0.000 0.552
O4 O 0.112 0.500 0.312
O5 O 0.128 0.000 0.900
O6 O 0.169 0.500 0.664
O7 O 0.182 0.000 0.261
O8 O 0.216 0.500 0.022
O9 O 0.230 0.000 0.619
```

Values from the calculation:
Crystal system ... monoclinic

***

Compound: ZrCdO2
Source: Alexandria
Functional: PBEsol
Structure: relaxed

CIF file:
```
data_ZrCdO2
_chemical_formula_sum 'Zr3 Cd3 O6'
_symmetry_space_group_name_H-M 'R -3 m'
_symmetry_Int_Tables_number 166
_symmetry_space_group_name_Hall '-R 3 2"'
_cell_length_a 3.2134
_cell_length_b 3.2134
_cell_length_c 22.9198
_cell_angle_alpha 90.00
_cell_angle_beta 90.00
_cell_angle_gamma 120.00
loop_
_atom_site_label
_atom_site_type_symbol
_atom_site_fract_x
_atom_site_fract_y
_atom_site_fract_z
Zr1 Zr 0.0000 0.0000 0.0000
Cd1 Cd 0.0000 0.0000 0.5000
O1 O 0.0000 0.0000 0.3767
```

Values from the calculation:
Crystal system ... trigonal

***

Compound: ZrCd3O
Source: Alexandria
Functional: PBEsol
Structure: relaxed

CIF file:
```
data_ZrCd3O
_chemical_formula_sum 'Zr1 Cd3 O1'
_symmetry_space_group_name_H-M 'P m -3 m'
_symmetry_Int_Tables_number 221
_symmetry_space_group_name_Hall '-P 4 2 3'
_cell_length_a 5.603
_cell_length_b 5.603
_cell_length_c 5.603
_cell_angle_alpha 90.00
_cell_angle_beta 90.00
_cell_angle_gamma 90.00
loop_
_atom_site_label
_atom_site_type_symbol
_atom_site_fract_x
_atom_site_fract_y
_atom_site_fract_z
Zr1 Zr 0.000 0.000 0.000
Cd1 Cd 0.000 0.000 0.500
O1 O 0.500 0.500 0.500
```

Values from the calculation:
Crystal system ... cubic

***

Q: Which ΔE_f (raw) values were calculated for the entries above? A: -2.53 -2.26 -1.77 -1.84 -2.08 -2.06 -1.78 -1.71 -1.93 -2.09 -1.35 -1.29 -3.08 -2.30 1.41, in eV/atom.